Computed, not measured: a relaxed Li2Pm2In3 crystal at the PBE-GGA level of DFT.

## Properties
volume = 711.4 Å³ per cell
calculated total energy = -95.57 eV per cell
calculated formation energy = -0.34 eV/atom
crystal system = orthorhombic
total magnetization = 0.000 μB/cell

abc: 4.617 20.408 7.549
angles: 90.00 90.00 90.00
Space group Cmcm (No. 63)
Unique sites:
Li1 0.000 0.192 0.060
Pm1 0.000 0.343 0.250
Pm2 0.000 0.450 0.750
In1 0.000 0.066 0.559
In2 0.000 0.278 0.750